1.
DFT (PBE-GGA) results for an optimized crystal structure of KTlCl.

```
KTlCl
1.0
4.205 0.000 0.000
-2.102 3.642 0.000
0.000 0.000 7.223
Cl Tl K
1 1 1
direct
0.000 0.000 0.038 Cl
0.333 0.667 0.694 Tl
0.667 0.333 0.269 K
```

energy: -7.8 eV/cell
SG: P3m1 (156)
formation energy (no corrections): -0.83 eV per atom
N(E_F): 1.98 states/eV per cell
V: 36.86 Å³ per atom

2.
DFT (PBE-GGA) results for an optimized crystal structure of KTlCl.

```
KTlCl
1.0
4.373 0.000 0.000
0.000 4.373 0.000
0.000 0.000 11.143
Tl Cl K
2 2 2
direct
0.500 0.000 0.052 Tl
0.000 0.500 0.948 Tl
0.000 0.500 0.640 Cl
0.500 0.000 0.360 Cl
0.500 0.000 0.646 K
0.000 0.500 0.354 K
```

energy: -17.5 eV/cell
SG: P4/nmm (129)
formation energy (no corrections): -1.14 eV per atom
N(E_F): 2.55 states/eV per cell
V: 35.52 Å³ per atom

3.
DFT (PBE-GGA) results for an optimized crystal structure of KTl6Cl8.

```
KTl6Cl8
1.0
4.670 0.000 0.000
0.000 9.663 -5.579
0.000 0.000 11.158
Cl K Tl
8 1 6
direct
0.744 0.734 0.706 Cl
0.256 0.706 0.972 Cl
0.256 0.028 0.734 Cl
0.256 0.266 0.294 Cl
0.257 0.667 0.333 Cl
0.744 0.972 0.266 Cl
0.744 0.294 0.028 Cl
0.743 0.333 0.667 Cl
0.500 0.000 0.000 K
0.244 0.545 0.671 Tl
0.756 0.873 0.545 Tl
0.756 0.671 0.127 Tl
0.244 0.329 0.873 Tl
0.244 0.127 0.455 Tl
0.756 0.455 0.329 Tl
```

energy: -45.5 eV/cell
SG: P-3 (147)
formation energy (no corrections): -1.03 eV per atom
N(E_F): 9.83 states/eV per cell
V: 33.57 Å³ per atom

4.
DFT (PBE-GGA) results for an optimized crystal structure of KTlCl4.

```
KTlCl4
1.0
-3.644 0.014 5.094
-6.177 -0.870 -0.565
-2.608 -5.332 2.000
Cl K Tl
4 1 1
direct
0.875 0.375 0.375 Cl
0.375 0.375 0.875 Cl
0.375 0.375 0.375 Cl
0.375 0.875 0.375 Cl
0.750 0.750 0.750 K
0.000 0.000 0.000 Tl
```

energy: -14.1 eV/cell
SG: F-43m (216)
formation energy (no corrections): -0.55 eV per atom
N(E_F): 0.72 states/eV per cell
V: 28.95 Å³ per atom

5.
DFT (PBE-GGA) results for an optimized crystal structure of KTl3Cl6.

```
KTl3Cl6
1.0
-6.814 -1.069 -2.660
-2.560 -2.202 7.442
-2.115 10.370 2.341
Cl Tl K
12 6 2
direct
0.117 0.061 0.729 Cl
0.336 0.768 0.075 Cl
0.799 0.668 0.964 Cl
0.201 0.332 0.036 Cl
0.883 0.939 0.271 Cl
0.836 0.732 0.575 Cl
0.299 0.832 0.464 Cl
0.164 0.268 0.425 Cl
0.617 0.439 0.229 Cl
0.701 0.168 0.536 Cl
0.664 0.232 0.925 Cl
0.383 0.561 0.771 Cl
0.523 0.933 0.734 Tl
0.500 0.500 0.000 Tl
0.000 0.000 0.500 Tl
0.477 0.067 0.266 Tl
0.977 0.433 0.766 Tl
0.023 0.567 0.234 Tl
0.000 0.000 0.000 K
0.500 0.500 0.500 K
```

energy: -60.5 eV/cell
SG: P2_1/c (14)
formation energy (no corrections): -1.09 eV per atom
N(E_F): 0.00 states/eV per cell
V: 32.72 Å³ per atom

6.
DFT (PBE-GGA) results for an optimized crystal structure of KTl6Cl8.

```
KTl6Cl8
1.0
8.271 -0.939 -0.970
-1.197 8.238 -0.970
-1.197 -1.235 8.202
Cl Tl K
8 6 1
direct
0.848 0.327 0.215 Cl
0.152 0.673 0.785 Cl
0.215 0.848 0.327 Cl
0.673 0.785 0.152 Cl
0.313 0.313 0.313 Cl
0.785 0.152 0.673 Cl
0.327 0.215 0.848 Cl
0.687 0.687 0.687 Cl
0.699 0.447 0.902 Tl
0.447 0.902 0.699 Tl
0.098 0.301 0.553 Tl
0.301 0.553 0.098 Tl
0.902 0.699 0.447 Tl
0.553 0.098 0.301 Tl
0.000 0.000 0.000 K
```

energy: -45.3 eV/cell
SG: R-3 (148)
formation energy (no corrections): -1.02 eV per atom
N(E_F): 12.47 states/eV per cell
V: 35.18 Å³ per atom

7.
DFT (PBE-GGA) results for an optimized crystal structure of KTl2Cl4.

```
KTl2Cl4
1.0
-2.502 -7.170 -0.067
6.235 -2.210 3.730
-2.401 0.796 4.485
Tl Cl K
2 4 1
direct
0.500 0.000 0.500 Tl
0.000 0.500 0.500 Tl
0.243 0.757 0.695 Cl
0.757 0.243 0.695 Cl
0.243 0.243 0.305 Cl
0.757 0.757 0.305 Cl
0.000 0.000 0.000 K
```

energy: -20.6 eV/cell
SG: P-42m (111)
formation energy (no corrections): -1.06 eV per atom
N(E_F): 3.45 states/eV per cell
V: 42.42 Å³ per atom

8.
DFT (PBE-GGA) results for an optimized crystal structure of K3Tl5Cl12.

```
K3Tl5Cl12
1.0
15.583 0.000 0.000
-5.194 14.691 0.000
-5.194 -7.346 12.723
K Tl Cl
12 20 48
direct
0.125 0.875 0.750 K
0.375 0.750 0.625 K
0.750 0.875 0.625 K
0.375 0.625 0.250 K
0.750 0.375 0.125 K
0.875 0.125 0.250 K
0.125 0.250 0.875 K
0.250 0.625 0.875 K
0.875 0.750 0.125 K
0.250 0.125 0.375 K
0.625 0.375 0.750 K
0.625 0.250 0.375 K
0.625 0.875 0.250 Tl
0.000 0.500 0.500 Tl
0.000 0.000 0.000 Tl
0.875 0.250 0.625 Tl
0.500 0.500 0.500 Tl
0.125 0.375 0.250 Tl
0.000 0.000 0.500 Tl
0.250 0.375 0.625 Tl
0.000 0.500 0.000 Tl
0.750 0.625 0.375 Tl
0.500 0.500 0.000 Tl
0.500 0.000 0.500 Tl
0.750 0.125 0.875 Tl
0.375 0.250 0.125 Tl
0.125 0.750 0.375 Tl
0.500 0.000 0.000 Tl
0.375 0.125 0.750 Tl
0.625 0.750 0.875 Tl
0.875 0.625 0.750 Tl
0.250 0.875 0.125 Tl
0.093 0.189 0.224 Cl
0.276 0.869 0.965 Cl
0.224 0.689 0.093 Cl
0.811 0.904 0.035 Cl
0.535 0.311 0.904 Cl
0.776 0.465 0.369 Cl
0.404 0.369 0.593 Cl
0.965 0.369 0.276 Cl
0.596 0.631 0.407 Cl
0.535 0.224 0.131 Cl
0.689 0.465 0.596 Cl
0.093 0.904 0.369 Cl
0.407 0.276 0.311 Cl
0.965 0.596 0.189 Cl
0.189 0.096 0.965 Cl
0.311 0.535 0.404 Cl
0.904 0.093 0.869 Cl
0.096 0.189 0.465 Cl
0.907 0.811 0.776 Cl
0.131 0.407 0.096 Cl
0.404 0.035 0.311 Cl
0.465 0.776 0.869 Cl
0.596 0.965 0.689 Cl
0.035 0.631 0.724 Cl
0.869 0.593 0.904 Cl
0.593 0.869 0.404 Cl
0.689 0.224 0.593 Cl
0.593 0.724 0.689 Cl
0.096 0.907 0.131 Cl
0.276 0.407 0.811 Cl
0.724 0.131 0.035 Cl
0.631 0.035 0.224 Cl
0.907 0.096 0.631 Cl
0.035 0.404 0.811 Cl
0.224 0.535 0.631 Cl
0.131 0.724 0.535 Cl
0.631 0.596 0.907 Cl
0.311 0.776 0.407 Cl
0.407 0.131 0.596 Cl
0.811 0.907 0.276 Cl
0.904 0.811 0.535 Cl
0.724 0.593 0.189 Cl
0.189 0.093 0.724 Cl
0.465 0.689 0.096 Cl
0.369 0.404 0.093 Cl
0.869 0.276 0.465 Cl
0.369 0.965 0.776 Cl
0.776 0.311 0.907 Cl
```

energy: -238.1 eV/cell
SG: Ia-3d (230)
formation energy (no corrections): -1.11 eV per atom
N(E_F): 52.27 states/eV per cell
V: 36.41 Å³ per atom

9.
DFT (PBE-GGA) results for an optimized crystal structure of KTl2Cl3.

```
KTl2Cl3
1.0
4.216 0.000 -1.759
-1.249 5.575 -2.995
0.804 0.668 7.856
Cl Tl K
3 2 1
direct
0.839 0.839 0.678 Cl
0.161 0.161 0.322 Cl
0.500 0.500 0.000 Cl
0.167 0.667 0.334 Tl
0.833 0.333 0.666 Tl
0.500 0.000 0.000 K
```

energy: -19.4 eV/cell
SG: Immm (71)
formation energy (no corrections): -1.33 eV per atom
N(E_F): 0.00 states/eV per cell
V: 33.74 Å³ per atom

10.
DFT (PBE-GGA) results for an optimized crystal structure of KTl4Cl5.

```
KTl4Cl5
1.0
4.496 0.000 -0.867
-0.334 6.230 -1.729
0.012 0.008 12.146
Cl Tl K
5 4 1
direct
0.596 0.096 0.193 Cl
0.000 0.500 0.000 Cl
0.201 0.701 0.402 Cl
0.799 0.299 0.598 Cl
0.404 0.904 0.807 Cl
0.599 0.599 0.199 Tl
0.401 0.401 0.801 Tl
0.199 0.199 0.398 Tl
0.801 0.801 0.602 Tl
0.000 0.000 0.000 K
```

energy: -31.9 eV/cell
SG: Immm (71)
formation energy (no corrections): -1.21 eV per atom
N(E_F): 0.00 states/eV per cell
V: 34.03 Å³ per atom

11.
DFT (PBE-GGA) results for an optimized crystal structure of KTl3Cl4.

```
KTl3Cl4
1.0
-3.489 1.929 2.255
3.195 -2.278 6.892
2.732 7.192 -1.924
Tl Cl K
3 4 1
direct
0.000 0.000 0.500 Tl
0.500 0.500 0.500 Tl
0.000 0.500 0.000 Tl
0.500 0.247 0.753 Cl
0.000 0.756 0.756 Cl
0.000 0.244 0.244 Cl
0.500 0.753 0.247 Cl
0.500 0.000 0.000 K
```

energy: -25.6 eV/cell
SG: Cmmm (65)
formation energy (no corrections): -1.25 eV per atom
N(E_F): 0.00 states/eV per cell
V: 33.96 Å³ per atom

12.
DFT (PBE-GGA) results for an optimized crystal structure of K2TlCl2.

```
K2TlCl2
1.0
5.651 0.000 0.000
0.000 5.651 0.000
2.826 2.826 6.640
Cl Tl K
2 1 2
direct
0.750 0.250 0.500 Cl
0.250 0.750 0.500 Cl
0.000 0.000 0.000 Tl
0.332 0.332 0.336 K
0.668 0.668 0.664 K
```

energy: -14.0 eV/cell
SG: I4/mmm (139)
formation energy (no corrections): -1.14 eV per atom
N(E_F): 3.17 states/eV per cell
V: 42.41 Å³ per atom

13.
DFT (PBE-GGA) results for an optimized crystal structure of K3TlCl6.

```
K3TlCl6
1.0
7.509 0.000 0.031
0.000 7.977 0.000
0.137 0.000 10.684
K Cl Tl
6 12 2
direct
0.472 0.075 0.244 K
0.000 0.000 0.500 K
0.500 0.500 0.000 K
0.528 0.925 0.756 K
0.972 0.425 0.744 K
0.028 0.575 0.256 K
0.832 0.725 0.923 Cl
0.718 0.179 0.944 Cl
0.131 0.056 0.774 Cl
0.282 0.821 0.056 Cl
0.869 0.944 0.226 Cl
0.782 0.679 0.556 Cl
0.332 0.775 0.423 Cl
0.218 0.321 0.444 Cl
0.631 0.444 0.274 Cl
0.369 0.556 0.726 Cl
0.168 0.275 0.077 Cl
0.668 0.225 0.577 Cl
0.000 0.000 0.000 Tl
0.500 0.500 0.500 Tl
```

energy: -63.0 eV/cell
SG: P2_1/c (14)
formation energy (no corrections): -1.48 eV per atom
N(E_F): 0.00 states/eV per cell
V: 32.00 Å³ per atom

14.
DFT (PBE-GGA) results for an optimized crystal structure of KTl2Cl3.

```
KTl2Cl3
1.0
-1.267 -2.879 -7.305
-7.984 -2.530 2.382
-8.010 3.413 0.044
Cl Tl K
6 4 2
direct
0.750 0.204 0.424 Cl
0.750 0.873 0.127 Cl
0.250 0.424 0.204 Cl
0.750 0.576 0.796 Cl
0.250 0.127 0.873 Cl
0.250 0.796 0.576 Cl
0.000 0.169 0.169 Tl
0.000 0.831 0.831 Tl
0.500 0.831 0.831 Tl
0.500 0.169 0.169 Tl
0.250 0.623 0.377 K
0.750 0.377 0.623 K
```

energy: -37.6 eV/cell
SG: Cmcm (63)
formation energy (no corrections): -1.24 eV per atom
N(E_F): 0.00 states/eV per cell
V: 34.29 Å³ per atom

15.
DFT (PBE-GGA) results for an optimized crystal structure of KTl5Cl7.

```
KTl5Cl7
1.0
-2.458 -3.458 1.284
2.877 -1.789 -6.963
21.228 -10.786 11.595
Tl Cl K
10 14 2
direct
0.730 0.460 0.922 Tl
0.000 0.001 0.500 Tl
0.000 0.001 0.000 Tl
0.730 0.460 0.578 Tl
0.464 0.929 0.654 Tl
0.537 0.074 0.154 Tl
0.270 0.541 0.422 Tl
0.464 0.928 0.846 Tl
0.536 0.071 0.346 Tl
0.271 0.542 0.078 Tl
0.180 0.360 0.322 Cl
0.820 0.641 0.678 Cl
0.181 0.363 0.178 Cl
0.440 0.880 0.250 Cl
0.560 0.121 0.750 Cl
0.636 0.272 0.462 Cl
0.095 0.190 0.610 Cl
0.364 0.729 0.538 Cl
0.820 0.639 0.822 Cl
0.906 0.812 0.109 Cl
0.364 0.728 0.962 Cl
0.095 0.190 0.890 Cl
0.636 0.273 0.038 Cl
0.905 0.810 0.390 Cl
0.214 0.427 0.750 K
0.787 0.574 0.251 K
```

energy: -79.6 eV/cell
SG: Cm (8)
formation energy (no corrections): -1.07 eV per atom
N(E_F): 15.88 states/eV per cell
V: 33.50 Å³ per atom

16.
DFT (PBE-GGA) results for an optimized crystal structure of KTlCl.

```
KTlCl
1.0
-4.019 -2.242 -2.874
5.146 -0.587 -1.616
0.306 -3.367 2.198
Cl Tl K
1 1 1
direct
0.000 0.000 0.836 Cl
0.333 0.667 0.833 Tl
0.667 0.333 0.332 K
```

energy: -7.6 eV/cell
SG: P3m1 (156)
formation energy (no corrections): -0.76 eV per atom
N(E_F): 1.39 states/eV per cell
V: 34.27 Å³ per atom

17.
DFT (PBE-GGA) results for an optimized crystal structure of KTlCl.

```
KTlCl
1.0
-4.807 0.906 2.680
-4.590 -2.801 -1.482
-2.091 -3.915 3.378
K Cl Tl
1 1 1
direct
0.500 0.500 0.500 K
0.000 0.000 0.000 Cl
0.750 0.750 0.750 Tl
```

energy: -6.8 eV/cell
SG: F-43m (216)
formation energy (no corrections): -0.51 eV per atom
N(E_F): 3.50 states/eV per cell
V: 40.90 Å³ per atom

18.
DFT (PBE-GGA) results for an optimized crystal structure of KTl4Cl.

```
KTl4Cl
1.0
0.000 4.681 4.681
4.681 0.000 4.681
4.681 4.681 0.000
Tl Cl K
4 1 1
direct
0.376 0.376 0.376 Tl
0.873 0.376 0.376 Tl
0.376 0.873 0.376 Tl
0.376 0.376 0.873 Tl
0.750 0.750 0.750 Cl
0.000 0.000 0.000 K
```

energy: -13.7 eV/cell
SG: F-43m (216)
formation energy (no corrections): -0.22 eV per atom
N(E_F): 4.32 states/eV per cell
V: 34.20 Å³ per atom